1.
This record from Alexandria via LeMat-Bulk describes crystalline Ho2BiOsO8 at its relaxed geometry. The functional is PBE-GGA.

## Properties
The density of states at the Fermi level comes out at 3.60 states/eV/cell. The calculation puts the uncorrected energy at -88.98 eV for the cell shown. Its crystal system is monoclinic. Its uncorrected formation energy is -2.087 eV per atom.

abc: 5.0278 5.0232 6.8292
angles: 90.00 90.00 90.40
With the nearest neighbours (Å) after each atom.
Positions (direct):
Ho  0.5000  0.5000  0.7501  6 O 2.16-2.37
Ho  0.5000  0.5000  0.2499  6 O 2.16-2.37
Bi  0.0000  0.0000  0.5000  6 O 2.22-2.38
Os  0.0000  0.0000  0.0000  6 O 1.90-1.94
O  0.1826  0.8162  0.2094  1 Os 1.94
O  0.7316  0.7327  0.0000  1 Os 1.90
O  0.8174  0.1839  0.2094  1 Os 1.94
O  0.8174  0.1838  0.7906  1 Os 1.94
O  0.2684  0.2673  0.0000  1 Os 1.90
O  0.1826  0.8161  0.7906  1 Os 1.94
O  0.6859  0.6875  0.5000  2 Ho 2.16, 1 Bi 2.22
O  0.3141  0.3125  0.5000  2 Ho 2.16, 1 Bi 2.22



2.
This record from Alexandria via LeMat-Bulk describes crystalline HoPaBi2O8 at its relaxed geometry. The functional is PBE-GGA.

## Properties
The calculation puts the uncorrected energy at -87.16 eV for the cell shown. Its crystal system is tetragonal. Its uncorrected formation energy is -2.138 eV per atom.

abc: 6.3252 6.3252 6.3252
angles: 109.95 109.95 108.52
With the nearest neighbours (Å) after each atom.
Positions (direct):
Ho  0.2500  0.7500  0.5000  8 O 2.29-2.51
Pa  0.0000  0.0000  0.0000  4 O 2.18
Bi  0.7500  0.2500  0.5000  4 O 2.21
Bi  0.5000  0.5000  0.0000  4 O 2.06
O  0.3243  0.0256  0.2987  1 Pa 2.18, 1 Bi 2.21
O  0.2906  0.4779  0.1874  1 Bi 2.06, 1 Ho 2.29
O  0.2906  0.1032  0.8126  1 Bi 2.06, 1 Ho 2.29
O  0.7269  0.0256  0.7013  1 Pa 2.18, 1 Bi 2.21
O  0.8968  0.7094  0.1874  1 Bi 2.06, 1 Ho 2.29
O  0.9744  0.2731  0.2987  1 Pa 2.18, 1 Bi 2.21
O  0.9744  0.6757  0.7013  1 Pa 2.18, 1 Bi 2.21
O  0.5221  0.7094  0.8126  1 Bi 2.06, 1 Ho 2.29



3.
This record from Alexandria via LeMat-Bulk describes crystalline HoBiPb2O5 at its relaxed geometry. The functional is PBE-GGA.

## Properties
The density of states at the Fermi level comes out at 0.00 states/eV/cell. The calculation puts the uncorrected energy at -113.32 eV for the cell shown. Its crystal system is orthorhombic. Its uncorrected formation energy is -1.777 eV per atom.

abc: 3.6791 7.1284 13.0936
angles: 90.00 90.00 104.95
With the nearest neighbours (Å) after each atom.
Positions (direct):
Ho  0.7288  0.4576  0.4963  7 O 2.31-2.47
Ho  0.2712  0.5424  0.9963  7 O 2.31-2.47
Bi  0.5476  0.0952  0.9394  4 O 2.23-2.38
Bi  0.4524  0.9048  0.4394  4 O 2.23-2.38
Pb  0.8227  0.6454  0.7668  3 O 2.27-2.35
Pb  0.0711  0.1422  0.6690  3 O 2.19-2.28
Pb  0.1773  0.3546  0.2668  3 O 2.27-2.35
Pb  0.9289  0.8578  0.1690  3 O 2.19-2.28
O  0.4377  0.8755  0.0670  1 Bi 2.25, 2 Pb 2.28, 1 Ho 2.47
O  0.7165  0.4331  0.8994  1 Pb 2.27, 2 Ho 2.36, 1 Bi 2.38
O  0.3789  0.7577  0.8611  1 Ho 2.31, 2 Pb 2.35, 1 Bi 2.54
O  0.2179  0.4357  0.6053  1 Pb 2.19, 2 Ho 2.33
O  0.9018  0.8035  0.5195  2 Bi 2.23, 1 Ho 2.40
O  0.5623  0.1245  0.5670  1 Bi 2.25, 2 Pb 2.28, 1 Ho 2.47
O  0.2835  0.5669  0.3994  1 Pb 2.27, 2 Ho 2.36, 1 Bi 2.38
O  0.6211  0.2423  0.3611  1 Ho 2.31, 2 Pb 2.35, 1 Bi 2.54
O  0.7821  0.5643  0.1053  1 Pb 2.19, 2 Ho 2.33
O  0.0982  0.1965  0.0195  2 Bi 2.23, 1 Ho 2.40



4.
This record from Alexandria via LeMat-Bulk describes crystalline HoBiPb2O6 at its relaxed geometry. The functional is PBE-GGA.

## Properties
The calculation puts the uncorrected energy at -124.09 eV for the cell shown. Its crystal system is monoclinic. Its uncorrected formation energy is -1.642 eV per atom.

abc: 5.9679 6.0856 8.5457
angles: 90.00 89.88 90.00
With the nearest neighbours (Å) after each atom.
Positions (direct):
Ho  0.5000  0.0000  0.0000  6 O 2.25-2.26
Ho  0.0000  0.5000  0.5000  6 O 2.25-2.26
Bi  0.5000  0.0000  0.5000  6 O 2.15
Bi  0.0000  0.5000  0.0000  6 O 2.15
Pb  0.0052  0.9661  0.2490  4 O 2.51-2.75
Pb  0.5052  0.5339  0.7490  4 O 2.51-2.75
Pb  0.9948  0.0339  0.7510  4 O 2.51-2.75
Pb  0.4948  0.4661  0.2510  4 O 2.51-2.75
O  0.2913  0.6981  0.0442  1 Bi 2.15, 1 Ho 2.25
O  0.7913  0.8019  0.5442  1 Bi 2.15, 1 Ho 2.25
O  0.7087  0.3019  0.9558  1 Bi 2.15, 1 Ho 2.25
O  0.2087  0.1981  0.4558  1 Bi 2.15, 1 Ho 2.25
O  0.3075  0.7083  0.4570  1 Bi 2.15, 1 Ho 2.26
O  0.8075  0.7917  0.9570  1 Bi 2.15, 1 Ho 2.26
O  0.6925  0.2917  0.5430  1 Bi 2.15, 1 Ho 2.26
O  0.1925  0.2083  0.0430  1 Bi 2.15, 1 Ho 2.26
O  0.9112  0.5235  0.2438  1 Bi 2.15, 1 Ho 2.26
O  0.4112  0.9765  0.7438  1 Bi 2.15, 1 Ho 2.26
O  0.0888  0.4765  0.7562  1 Bi 2.15, 1 Ho 2.26
O  0.5888  0.0235  0.2562  1 Bi 2.15, 1 Ho 2.26



5.
This record from Alexandria via LeMat-Bulk describes crystalline PmHoBi2O6 at its relaxed geometry. The functional is PBE-GGA.

## Properties
The density of states at the Fermi level comes out at 0.00 states/eV/cell. The calculation puts the uncorrected energy at -70.20 eV for the cell shown. Its crystal system is trigonal. Its uncorrected formation energy is -2.336 eV per atom.

abc: 6.0812 6.0819 6.2014
angles: 60.64 60.65 59.99
With the nearest neighbours (Å) after each atom.
Positions (direct):
Pm  0.8043  0.8045  0.5867  6 O 2.31-2.45
Ho  0.3089  0.3088  0.0733  6 O 2.24-2.35
Bi  0.5216  0.5219  0.4348  6 O 2.31-2.54
Bi  0.0202  0.0202  0.9391  6 O 2.32-2.51
O  0.6206  0.1833  0.2445  1 Ho 2.24, 1 Bi 2.32, 1 Pm 2.45
O  0.1833  0.9516  0.2446  1 Ho 2.24, 1 Bi 2.32, 1 Pm 2.45
O  0.9517  0.6207  0.2443  1 Ho 2.24, 1 Bi 2.32, 1 Pm 2.45
O  0.4366  0.6799  0.7493  1 Pm 2.31, 2 Bi 2.31-2.51, 1 Ho 2.35
O  0.6800  0.1341  0.7494  1 Pm 2.31, 2 Bi 2.31-2.51, 1 Ho 2.35
O  0.1344  0.4366  0.7492  1 Pm 2.31, 2 Bi 2.31-2.51, 1 Ho 2.35



6.
This record from Alexandria via LeMat-Bulk describes crystalline PrHoBiO2 at its relaxed geometry. The functional is PBE-GGA.

## Properties
The density of states at the Fermi level comes out at 1.70 states/eV/cell. The calculation puts the uncorrected energy at -36.18 eV for the cell shown. Its crystal system is tetragonal. Its uncorrected formation energy is -2.606 eV per atom.

abc: 3.9600 3.9600 7.4751
angles: 105.36 105.36 90.00
With the nearest neighbours (Å) after each atom.
Positions (direct):
Pr  0.8361  0.8361  0.6722  4 O 2.35
Ho  0.1700  0.1700  0.3400  4 O 2.23
Bi  0.5051  0.5051  0.0102  4 Ho 3.61, 4 Pr 3.65, 4 O 3.86, 4 Bi 3.96
O  0.7444  0.2444  0.4888  2 Ho 2.23, 2 Pr 2.35
O  0.2444  0.7444  0.4888  2 Ho 2.23, 2 Pr 2.35